# 1
Dy6Ga2Os | PBE | optimized geometry

Geometry as CIF:
```
data_Dy6Ga2Os
_cell_length_a 4.941
_cell_length_b 6.999
_cell_length_c 14.562
_cell_angle_alpha 90.00
_cell_angle_beta 90.00
_cell_angle_gamma 90.00
_symmetry_space_group_name_H-M 'I m m m'
_symmetry_Int_Tables_number 71
_symmetry_space_group_name_Hall '-I 2 2'
loop_
_atom_site_label
_atom_site_fract_x
_atom_site_fract_y
_atom_site_fract_z
_atom_site_occupancy
Dy1 0.000 0.235 0.000 1
Dy2 0.000 0.255 0.341 1
Ga1 0.000 0.500 0.167 1
Os1 0.000 0.500 0.500 1
```

Results
* energy of formation: -0.2506 eV/atom
* M_tot: 0.0 μB/f.u.
* volume: 503.6 Å³/cell



# 2
Dy4Ga3Os | PBE | optimized geometry

Geometry as CIF:
```
data_Dy4Ga3Os
_cell_length_a 3.983
_cell_length_b 4.297
_cell_length_c 10.823
_cell_angle_alpha 90.00
_cell_angle_beta 90.00
_cell_angle_gamma 90.00
_symmetry_space_group_name_H-M 'P m m 2'
_symmetry_Int_Tables_number 25
loop_
_symmetry_equiv_pos_as_xyz
'x,y,z'
'-x,-y,z'
'-x,y,z'
'x,-y,z'
loop_
_atom_site_label
_atom_site_fract_x
_atom_site_fract_y
_atom_site_fract_z
_atom_site_occupancy
Dy1 0.000 0.000 0.000 1
Dy2 0.000 0.500 0.269 1
Dy3 0.500 0.000 0.471 1
Dy4 0.500 0.500 0.779 1
Ga1 0.000 0.000 0.706 1
Ga2 0.000 0.500 0.556 1
Ga3 0.500 0.500 0.060 1
Os1 0.500 0.000 0.198 1
```

Results
* energy of formation: -0.5089 eV/atom
* M_tot: 0.0 μB/f.u.
* volume: 185.2 Å³/cell



# 3
Dy3Ga7Os2 | PBE | optimized geometry

Geometry as CIF:
```
data_Dy3Ga7Os2
_cell_length_a 4.599
_cell_length_b 4.599
_cell_length_c 24.302
_cell_angle_alpha 90.00
_cell_angle_beta 90.00
_cell_angle_gamma 90.00
_symmetry_space_group_name_H-M 'I 4/m m m'
_symmetry_Int_Tables_number 139
_symmetry_space_group_name_Hall '-I 4 2'
loop_
_atom_site_label
_atom_site_fract_x
_atom_site_fract_y
_atom_site_fract_z
_atom_site_occupancy
Dy1 0.000 0.000 0.000 1
Dy2 0.000 0.000 0.167 1
Ga1 0.000 0.000 0.287 1
Ga2 0.000 0.000 0.500 1
Ga3 0.000 0.500 0.082 1
Os1 0.000 0.000 0.386 1
```

Results
* energy of formation: -0.2210 eV/atom
* M_tot: 0.0 μB/f.u.
* volume: 513.9 Å³/cell



# 4
PmDyGaOs | PBE | optimized geometry

Geometry as CIF:
```
data_PmDyGaOs
_cell_length_a 7.064
_cell_length_b 7.064
_cell_length_c 7.064
_cell_angle_alpha 90.00
_cell_angle_beta 90.00
_cell_angle_gamma 90.00
_symmetry_space_group_name_H-M 'F -4 3 m'
_symmetry_Int_Tables_number 216
_symmetry_space_group_name_Hall 'F -4 2 3'
loop_
_atom_site_label
_atom_site_fract_x
_atom_site_fract_y
_atom_site_fract_z
_atom_site_occupancy
Pm1 0.000 0.000 0.000 1
Dy1 0.000 0.000 0.500 1
Ga1 0.250 0.250 0.250 1
Os1 0.250 0.250 0.750 1
```

Results
* energy of formation: -0.2812 eV/atom
* M_tot: 0.0 μB/f.u.
* volume: 352.5 Å³/cell



# 5
DyPuGaOs | PBE | optimized geometry

Geometry as CIF:
```
data_DyPuGaOs
_cell_length_a 6.951
_cell_length_b 6.951
_cell_length_c 6.951
_cell_angle_alpha 90.00
_cell_angle_beta 90.00
_cell_angle_gamma 90.00
_symmetry_space_group_name_H-M 'F -4 3 m'
_symmetry_Int_Tables_number 216
_symmetry_space_group_name_Hall 'F -4 2 3'
loop_
_atom_site_label
_atom_site_fract_x
_atom_site_fract_y
_atom_site_fract_z
_atom_site_occupancy
Dy1 0.000 0.000 0.000 1
Pu1 0.000 0.000 0.500 1
Ga1 0.250 0.250 0.750 1
Os1 0.250 0.250 0.250 1
```

Results
* energy of formation: -0.1960 eV/atom
* M_tot: 4.9 μB/f.u.
* volume: 335.9 Å³/cell



# 6
DyGa4OsRh2 | PBE | optimized geometry

Geometry as CIF:
```
data_DyGa4OsRh2
_cell_length_a 4.2398
_cell_length_b 4.2398
_cell_length_c 25.6559
_cell_angle_alpha 90.00
_cell_angle_beta 90.00
_cell_angle_gamma 120.00
_symmetry_space_group_name_H-M 'R -3 m'
_symmetry_Int_Tables_number 166
_symmetry_space_group_name_Hall '-R 3 2"'
loop_
_atom_site_label
_atom_site_fract_x
_atom_site_fract_y
_atom_site_fract_z
_atom_site_occupancy
Dy1 0.0000 0.0000 0.0000 1
Ga1 0.0000 0.0000 0.1319 1
Ga2 0.0000 0.0000 0.3991 1
Os1 0.0000 0.0000 0.5000 1
Rh1 0.0000 0.0000 0.2395 1
```

Results
* energy of formation: -0.5115 eV/atom
* M_tot: 0.0 μB/f.u.
* volume: 399.4 Å³/cell



# 7
DyGa2SiOs2 | PBE | optimized geometry

Geometry as CIF:
```
data_DyGa2SiOs2
_cell_length_a 4.462
_cell_length_b 4.462
_cell_length_c 5.558
_cell_angle_alpha 90.00
_cell_angle_beta 90.00
_cell_angle_gamma 90.00
_symmetry_space_group_name_H-M 'P 4/m m m'
_symmetry_Int_Tables_number 123
_symmetry_space_group_name_Hall '-P 4 2'
loop_
_atom_site_label
_atom_site_fract_x
_atom_site_fract_y
_atom_site_fract_z
_atom_site_occupancy
Dy1 0.000 0.000 0.000 1
Ga1 0.500 0.500 0.226 1
Si1 0.000 0.000 0.500 1
Os1 0.000 0.500 0.500 1
```

Results
* M_tot: 0.0 μB/f.u.
* volume: 110.7 Å³/cell
* formation energy (no corrections): -0.1040 eV/atom



# 8
SmDyGaOs | PBE | optimized geometry

Geometry as CIF:
```
data_SmDyGaOs
_cell_length_a 7.044
_cell_length_b 7.044
_cell_length_c 7.044
_cell_angle_alpha 90.00
_cell_angle_beta 90.00
_cell_angle_gamma 90.00
_symmetry_space_group_name_H-M 'F -4 3 m'
_symmetry_Int_Tables_number 216
_symmetry_space_group_name_Hall 'F -4 2 3'
loop_
_atom_site_label
_atom_site_fract_x
_atom_site_fract_y
_atom_site_fract_z
_atom_site_occupancy
Sm1 0.000 0.000 0.000 1
Dy1 0.000 0.000 0.500 1
Ga1 0.250 0.250 0.750 1
Os1 0.250 0.250 0.250 1
```

Results
* energy of formation: -0.2963 eV/atom
* M_tot: 0.0 μB/f.u.
* volume: 349.5 Å³/cell



# 9
DyThGaOs | PBE | optimized geometry

Geometry as CIF:
```
data_DyThGaOs
_cell_length_a 7.130
_cell_length_b 7.130
_cell_length_c 7.130
_cell_angle_alpha 90.00
_cell_angle_beta 90.00
_cell_angle_gamma 90.00
_symmetry_space_group_name_H-M 'F -4 3 m'
_symmetry_Int_Tables_number 216
_symmetry_space_group_name_Hall 'F -4 2 3'
loop_
_atom_site_label
_atom_site_fract_x
_atom_site_fract_y
_atom_site_fract_z
_atom_site_occupancy
Dy1 0.000 0.000 0.000 1
Th1 0.000 0.000 0.500 1
Ga1 0.250 0.250 0.250 1
Os1 0.250 0.250 0.750 1
```

Results
* energy of formation: -0.2945 eV/atom
* M_tot: 0.0 μB/f.u.
* volume: 362.5 Å³/cell
* excess energy over the best structure of this formula in the dataset: 197 meV/atom



# 10
DyThGaOs | PBE | optimized geometry

Geometry as CIF:
```
data_DyThGaOs
_cell_length_a 3.965
_cell_length_b 4.171
_cell_length_c 11.367
_cell_angle_alpha 90.00
_cell_angle_beta 90.00
_cell_angle_gamma 90.00
_symmetry_space_group_name_H-M 'A m m 2'
_symmetry_Int_Tables_number 38
loop_
_symmetry_equiv_pos_as_xyz
'x,y,z'
'-x,-y,z'
'-x,y,z'
'x,-y,z'
'x,y+1/2,z+1/2'
'-x,-y+1/2,z+1/2'
'-x,y+1/2,z+1/2'
'x,-y+1/2,z+1/2'
loop_
_atom_site_label
_atom_site_fract_x
_atom_site_fract_y
_atom_site_fract_z
_atom_site_occupancy
Dy1 0.000 0.000 0.000 1
Th1 0.500 0.000 0.277 1
Ga1 0.500 0.000 0.572 1
Os1 0.000 0.000 0.731 1
```

Results
* energy of formation: -0.4914 eV/atom
* M_tot: 0.0 μB/f.u.
* volume: 188.0 Å³/cell
* excess energy over the best structure of this formula in the dataset: 0 meV/atom



# 11
DyYGaOs | PBE | optimized geometry

Geometry as CIF:
```
data_DyYGaOs
_cell_length_a 6.974
_cell_length_b 6.974
_cell_length_c 6.974
_cell_angle_alpha 90.00
_cell_angle_beta 90.00
_cell_angle_gamma 90.00
_symmetry_space_group_name_H-M 'F -4 3 m'
_symmetry_Int_Tables_number 216
_symmetry_space_group_name_Hall 'F -4 2 3'
loop_
_atom_site_label
_atom_site_fract_x
_atom_site_fract_y
_atom_site_fract_z
_atom_site_occupancy
Dy1 0.000 0.000 0.000 1
Y1 0.000 0.000 0.500 1
Ga1 0.250 0.250 0.750 1
Os1 0.250 0.250 0.250 1
```

Results
* energy of formation: -0.3536 eV/atom
* M_tot: 0.0 μB/f.u.
* volume: 339.3 Å³/cell



# 12
DyGaP2 | PBE | optimized geometry

Geometry as CIF:
```
data_DyGaP2
_cell_length_a 3.5005
_cell_length_b 3.5005
_cell_length_c 25.5329
_cell_angle_alpha 90.00
_cell_angle_beta 90.00
_cell_angle_gamma 120.00
_symmetry_space_group_name_H-M 'R -3 m'
_symmetry_Int_Tables_number 166
_symmetry_space_group_name_Hall '-R 3 2"'
loop_
_atom_site_label
_atom_site_fract_x
_atom_site_fract_y
_atom_site_fract_z
_atom_site_occupancy
Dy1 0.0000 0.0000 0.0000 1
Ga1 0.0000 0.0000 0.5000 1
P1 0.0000 0.0000 0.1082 1
```

Results
* energy of formation: 0.1417 eV/atom
* M_tot: 0.0 μB/f.u.
* volume: 271.0 Å³/cell



Quick rundown of N(E_F), same order as above: 0.9705; 0.8165; 0.4113; 0.6440; 1.8158; 0.4886; 0.6158; 0.6589; 0.6447; 0.8829; 0.6673; 0.4682 states/eV/atom